GGA-PBE Tb6MgZn2, relaxed; total DFT energy (no corrections) = -3.40 eV/atom; calculated formation energy = 0.15 eV per atom; ρ = 6698 kg/m3; space-group type = No. 139
1.0
-2.486 2.486 11.118
2.486 -2.486 11.118
2.486 2.486 -11.118
Tb Mg Zn
6 1 2
direct
0.094 0.594 0.500 Tb
0.250 0.750 0.500 Tb
0.406 0.906 0.500 Tb
0.594 0.094 0.500 Tb
0.750 0.250 0.500 Tb
0.906 0.406 0.500 Tb
0.000 0.000 0.000 Mg
0.330 0.330 0.000 Zn
0.670 0.670 0.000 Zn

=====

GGA-PBE BeSiAg, relaxed; total DFT energy (no corrections) = -3.57 eV/atom; ΔE_f (raw) = 0.4260 eV/atom; ρ = 5135 kg/m3; space-group type = No. 216
1.0
0.000 2.862 2.862
2.862 0.000 2.862
2.862 2.862 0.000
Be Si Ag
1 1 1
direct
0.000 0.000 0.000 Be
0.500 0.500 0.500 Si
0.750 0.750 0.750 Ag

=====

GGA-PBE Fe3HW, relaxed; total DFT energy (no corrections) = -8.26 eV/atom; ρ = 11970 kg/m3; space-group type = No. 2
1.0
4.893 0.000 0.000
-2.135 4.471 0.000
-1.296 -2.148 4.469
Fe H W
6 2 2
direct
0.204 0.461 0.174 Fe
0.290 0.036 0.828 Fe
0.294 0.028 0.331 Fe
0.706 0.972 0.669 Fe
0.710 0.964 0.172 Fe
0.796 0.539 0.826 Fe
0.000 0.000 0.000 H
0.000 0.000 0.500 H
0.248 0.482 0.689 W
0.752 0.518 0.311 W